[1]
Ba3Ga5: relaxed, GGA-PBE.

ΔH_f (0 K) ... -0.36 eV/atom
VASP energy ... -2.968 eV per atom
Total magnetization ... 0.0 Bohr magnetons per cell

abc: 9.006 9.006 8.400
angles: 93.01 93.01 134.96
Positions (direct):
Ba: 0.162 0.838 0.000
Ba: 0.171 0.171 0.686
Ba: 0.226 0.774 0.500
Ba: 0.774 0.226 0.500
Ba: 0.829 0.829 0.314
Ba: 0.838 0.162 0.000
Ga: 0.256 0.422 0.368
Ga: 0.308 0.602 0.842
Ga: 0.334 0.334 0.082
Ga: 0.398 0.692 0.158
Ga: 0.422 0.256 0.368
Ga: 0.578 0.744 0.632
Ga: 0.602 0.308 0.842
Ga: 0.666 0.666 0.918
Ga: 0.692 0.398 0.158
Ga: 0.744 0.578 0.632

=====

[2]
Hf2MgZrCo: relaxed, GGA-PBE.

ΔH_f (0 K) ... 1.13 eV/atom
VASP energy ... -6.301 eV per atom
Total magnetization ... 0.1 Bohr magnetons per cell

abc: 5.199 5.199 4.479
angles: 90.00 90.00 90.00
Positions (direct):
Hf: 0.000 0.500 0.000
Hf: 0.500 0.000 0.000
Mg: 0.000 0.000 0.500
Zr: 0.500 0.500 0.000
Co: 0.500 0.500 0.500

=====

[3]
Pa4Fe2Bi5: relaxed, GGA-PBE.

ΔH_f (0 K) ... -0.14 eV/atom
VASP energy ... -6.893 eV per atom
Total magnetization ... 0.0 Bohr magnetons per cell

abc: 8.767 3.499 9.648
angles: 90.00 99.17 90.00
Positions (direct):
Pa: 0.166 0.000 0.440
Pa: 0.182 0.000 0.847
Pa: 0.818 0.000 0.153
Pa: 0.834 0.000 0.560
Fe: 0.072 0.500 0.647
Fe: 0.928 0.500 0.353
Bi: 0.159 0.500 0.151
Bi: 0.415 0.500 0.660
Bi: 0.500 0.500 0.000
Bi: 0.585 0.500 0.340
Bi: 0.841 0.500 0.849

=====

[4]
BaFeOs2: relaxed, GGA-PBE.

ΔH_f (0 K) ... 1.58 eV/atom
VASP energy ... -6.631 eV per atom
Total magnetization ... 3.8 Bohr magnetons per cell
Offset from the most stable computed form ... 1242 meV/atom

abc: 5.057 5.057 5.057
angles: 129.94 129.94 73.50
Positions (direct):
Ba: 0.000 0.000 0.000
Fe: 0.500 0.500 0.000
Os: 0.250 0.750 0.500
Os: 0.750 0.250 0.500